Entry 1:
The following is a DFT calculation (GGA-PBE) of a geometry-optimized TlIn2Bi2 structure.

Unit cell a=9.3882 b=9.3882 c=3.6007 alpha=90.00 beta=90.00 gamma=90.00
Closest atoms and distances in Å follow each position.
Sites, in units of the cell vectors:
Tl 0.0000 0.0000 0.0000  4 Bi 3.56, 2 Tl 3.60
Tl 0.5000 0.5000 0.0000  4 Bi 3.56, 2 Tl 3.60
Bi 0.3471 0.8471 0.0000  6 In 3.24-3.32, 2 Tl 3.56, 2 Bi 3.60
Bi 0.8471 0.6529 0.0000  6 In 3.24-3.32, 2 Tl 3.56, 2 Bi 3.60
Bi 0.6529 0.1529 0.0000  6 In 3.24-3.32, 2 Tl 3.56, 2 Bi 3.60
Bi 0.1529 0.3471 0.0000  6 In 3.24-3.32, 2 Tl 3.56, 2 Bi 3.60
In 0.1444 0.6444 0.5000  6 Bi 3.24-3.32, 2 In 3.60
In 0.6444 0.8556 0.5000  6 Bi 3.24-3.32, 2 In 3.60
In 0.8556 0.3556 0.5000  6 Bi 3.24-3.32, 2 In 3.60
In 0.3556 0.1444 0.5000  6 Bi 3.24-3.32, 2 In 3.60

The value obtained for the formation energy from the elements is 0.04 eV/atom. The value obtained for the total energy is -3.081 eV/atom. As for the space group: P4/mbm (127). Its mass density is 8.916 g/cm³.

***

Entry 2:
The following is a DFT calculation (GGA-PBE) of a geometry-optimized AgPRh2 structure.

Unit cell a=7.3264 b=7.3264 c=7.3264 alpha=156.72 beta=155.65 gamma=33.94
Closest atoms and distances in Å follow each position.
Sites, in units of the cell vectors:
Ag 0.4448 0.4448 0.0000  6 Rh 2.84-2.90, 4 Ag 2.96-3.09
P 0.6993 0.1993 0.5000  6 Rh 2.23-2.37
Rh 0.0843 0.0843 0.0000  2 P 2.23
Rh 0.2716 0.7716 0.5000  4 P 2.37

The value obtained for the formation energy from the elements is -0.22 eV/atom. The value obtained for the total energy is -5.958 eV/atom. As for the space group: Imm2 (44). Its mass density is 8.939 g/cm³.

***

Entry 3:
The following is a DFT calculation (GGA-PBE) of a geometry-optimized AcLa2Mg6 structure.

Unit cell a=3.5414 b=9.3198 c=9.3198 alpha=59.99 beta=90.01 gamma=90.01
Closest atoms and distances in Å follow each position.
Sites, in units of the cell vectors:
Ac 0.0000 0.0000 0.0000  2 Ac 3.54, 12 Mg 3.60-3.61
La 0.0000 0.3333 0.3333  2 La 3.54, 12 Mg 3.56
La 0.0000 0.6667 0.6667  2 La 3.54, 12 Mg 3.56
Mg 0.4994 0.6631 0.0000  3 Mg 3.04-3.14
Mg 0.5006 0.0000 0.3369  3 Mg 3.04-3.14
Mg 0.5006 0.3369 0.0000  3 Mg 3.04-3.14
Mg 0.5000 0.6631 0.3369  3 Mg 3.04-3.14
Mg 0.4994 0.0000 0.6631  3 Mg 3.04-3.14
Mg 0.5000 0.3369 0.6631  3 Mg 3.04-3.14

The value obtained for the formation energy from the elements is -0.09 eV/atom. The value obtained for the total energy is -2.705 eV/atom. As for the space group: P6/mmm (191). Its mass density is 4.056 g/cm³.

***

Entry 4:
The following is a DFT calculation (GGA-PBE) of a geometry-optimized HfInSb2Te structure.

Unit cell a=5.5637 b=5.5637 c=5.5914 alpha=90.00 beta=90.00 gamma=90.00
Closest atoms and distances in Å follow each position.
Sites, in units of the cell vectors:
Sb 0.0000 0.5000 0.0000  2 Hf 2.78
Sb 0.5000 0.0000 0.0000  2 Hf 2.78
Te 0.0000 0.0000 0.5000  2 Hf 2.80
Hf 0.0000 0.0000 0.0000  4 Sb 2.78, 2 Te 2.80
In 0.5000 0.5000 0.5000  4 Te 3.93, 8 Sb 3.94

The value obtained for the total energy is -4.765 eV/atom. As for the formation energy from raw total energies: 0.050 eV/atom. As for the space group: P4/mmm (123). Its mass density is 6.375 g/cm³.

***

What did the second record say?
The following is a DFT calculation (GGA-PBE) of a geometry-optimized AgPRh2 structure.

Unit cell a=7.3264 b=7.3264 c=7.3264 alpha=156.72 beta=155.65 gamma=33.94
Closest atoms and distances in Å follow each position.
Sites, in units of the cell vectors:
Ag 0.4448 0.4448 0.0000  6 Rh 2.84-2.90, 4 Ag 2.96-3.09
P 0.6993 0.1993 0.5000  6 Rh 2.23-2.37
Rh 0.0843 0.0843 0.0000  2 P 2.23
Rh 0.2716 0.7716 0.5000  4 P 2.37

The value obtained for the formation energy from the elements is -0.22 eV/atom. The value obtained for the total energy is -5.958 eV/atom. As for the space group: Imm2 (44). Its mass density is 8.939 g/cm³.